{
  "formula": "CuNi3",
  "functional": "GGA-PBEsol",
  "state": "optimized geometry",
  "volume_a3_per_atom": 10.6,
  "e_form_ev_per_atom": 0.03,
  "lattice_angstrom": [[2.4556, 0.0000, 0.0000], [-1.2278, 2.1266, 0.0000], [0.0000, 0.0000, 8.1088]],
  "species": ["Cu", "Ni", "Ni", "Ni"],
  "frac_coords": [[0.0000, 0.0000, 0.0000], [0.0000, 0.0000, 0.5000], [0.3333, 0.6667, 0.2542], [0.3333, 0.6667, 0.7458]]
}